# 1
# Mg2CuPt meta-GGA SCAN PBEsol geometry
data_Mg2CuPt
_cell_length_a 5.062
_cell_length_b 5.062
_cell_length_c 4.607
_cell_angle_alpha 105.52
_cell_angle_beta 105.52
_cell_angle_gamma 33.24
_symmetry_space_group_name_H-M 'P 1'
_symmetry_Int_Tables_number 1
loop_
_symmetry_equiv_pos_as_xyz
'x,y,z'
loop_
_atom_site_label
_atom_site_fract_x
_atom_site_fract_y
_atom_site_fract_z
Mg1 0.000 0.000 0.000
Mg2 0.211 0.211 0.641
Cu1 0.462 0.462 0.475
Pt1 0.747 0.747 0.161
# Final energy   -97.53 eV for the cell shown
# Formation enthalpy at 0 K   -0.548 eV/atom
# Space-group type   Cm (8)
# Total magnetization   0.00 μB per formula unit


# 2
# MgCu2Pt meta-GGA SCAN PBEsol geometry
data_MgCu2Pt
_cell_length_a 5.057
_cell_length_b 5.057
_cell_length_c 5.057
_cell_angle_alpha 146.18
_cell_angle_beta 130.38
_cell_angle_gamma 61.41
_symmetry_space_group_name_H-M 'P 1'
_symmetry_Int_Tables_number 1
loop_
_symmetry_equiv_pos_as_xyz
'x,y,z'
loop_
_atom_site_label
_atom_site_fract_x
_atom_site_fract_y
_atom_site_fract_z
Mg1 0.000 0.000 0.000
Cu1 0.253 0.753 0.500
Cu2 0.747 0.247 0.500
Pt1 0.500 0.500 0.000
# Final energy   -106.84 eV for the cell shown
# Formation enthalpy at 0 K   -0.318 eV/atom
# Space-group type   Immm (71)
# Total magnetization   0.00 μB per formula unit


# 3
# Mg2Cu2Pt meta-GGA SCAN PBEsol geometry
data_Mg2Cu2Pt
_cell_length_a 6.076
_cell_length_b 6.076
_cell_length_c 6.076
_cell_angle_alpha 143.75
_cell_angle_beta 143.75
_cell_angle_gamma 52.20
_symmetry_space_group_name_H-M 'P 1'
_symmetry_Int_Tables_number 1
loop_
_symmetry_equiv_pos_as_xyz
'x,y,z'
loop_
_atom_site_label
_atom_site_fract_x
_atom_site_fract_y
_atom_site_fract_z
Mg1 0.250 0.750 0.500
Mg2 0.750 0.250 0.500
Cu1 0.099 0.099 0.000
Cu2 0.901 0.901 0.000
Pt1 0.500 0.500 0.000
# Final energy   -109.30 eV for the cell shown
# Formation enthalpy at 0 K   0.247 eV/atom
# Space-group type   I4/mmm (139)
# Total magnetization   0.00 μB per formula unit


# 4
# Mg2CuPt meta-GGA SCAN PBEsol geometry
data_Mg2CuPt
_cell_length_a 4.879
_cell_length_b 4.879
_cell_length_c 4.879
_cell_angle_alpha 133.30
_cell_angle_beta 133.30
_cell_angle_gamma 68.18
_symmetry_space_group_name_H-M 'P 1'
_symmetry_Int_Tables_number 1
loop_
_symmetry_equiv_pos_as_xyz
'x,y,z'
loop_
_atom_site_label
_atom_site_fract_x
_atom_site_fract_y
_atom_site_fract_z
Mg1 0.000 0.000 0.000
Mg2 0.750 0.250 0.500
Cu1 0.500 0.500 0.000
Pt1 0.250 0.750 0.500
# Final energy   -97.62 eV for the cell shown
# Formation enthalpy at 0 K   -0.571 eV/atom
# Space-group type   I-4m2 (119)
# Total magnetization   0.00 μB per formula unit


# 5
# Mg2CuPt meta-GGA SCAN PBEsol geometry
data_Mg2CuPt
_cell_length_a 2.918
_cell_length_b 4.512
_cell_length_c 4.626
_cell_angle_alpha 90.00
_cell_angle_beta 90.00
_cell_angle_gamma 90.00
_symmetry_space_group_name_H-M 'P 1'
_symmetry_Int_Tables_number 1
loop_
_symmetry_equiv_pos_as_xyz
'x,y,z'
loop_
_atom_site_label
_atom_site_fract_x
_atom_site_fract_y
_atom_site_fract_z
Mg1 0.000 0.000 0.000
Mg2 0.000 0.500 0.419
Cu1 0.500 0.000 0.517
Pt1 0.500 0.500 0.910
# Final energy   -97.70 eV for the cell shown
# Formation enthalpy at 0 K   -0.591 eV/atom
# Space-group type   Pmm2 (25)
# Total magnetization   0.00 μB per formula unit


# 6
# MgCu2Pt meta-GGA SCAN PBEsol geometry
data_MgCu2Pt
_cell_length_a 8.705
_cell_length_b 8.705
_cell_length_c 8.705
_cell_angle_alpha 18.11
_cell_angle_beta 18.11
_cell_angle_gamma 18.11
_symmetry_space_group_name_H-M 'P 1'
_symmetry_Int_Tables_number 1
loop_
_symmetry_equiv_pos_as_xyz
'x,y,z'
loop_
_atom_site_label
_atom_site_fract_x
_atom_site_fract_y
_atom_site_fract_z
Mg1 0.000 0.000 0.000
Cu1 0.249 0.249 0.249
Cu2 0.751 0.751 0.751
Pt1 0.500 0.500 0.500
# Final energy   -105.73 eV for the cell shown
# Formation enthalpy at 0 K   -0.040 eV/atom
# Space-group type   R-3m (166)
# Total magnetization   0.00 μB per formula unit


# 7
# MgCu2Re meta-GGA SCAN PBEsol geometry
data_MgCu2Re
_cell_length_a 4.252
_cell_length_b 4.252
_cell_length_c 4.252
_cell_angle_alpha 60.00
_cell_angle_beta 60.00
_cell_angle_gamma 60.00
_symmetry_space_group_name_H-M 'P 1'
_symmetry_Int_Tables_number 1
loop_
_symmetry_equiv_pos_as_xyz
'x,y,z'
loop_
_atom_site_label
_atom_site_fract_x
_atom_site_fract_y
_atom_site_fract_z
Mg1 0.000 0.000 0.000
Cu1 0.250 0.250 0.250
Cu2 0.500 0.500 0.500
Re1 0.750 0.750 0.750
# Final energy   -104.17 eV for the cell shown
# Formation enthalpy at 0 K   0.574 eV/atom
# Space-group type   F-43m (216)
# Total magnetization   2.24 μB per formula unit


# 8
# Mg2CuRe meta-GGA SCAN PBEsol geometry
data_Mg2CuRe
_cell_length_a 4.977
_cell_length_b 4.977
_cell_length_c 2.655
_cell_angle_alpha 90.00
_cell_angle_beta 90.00
_cell_angle_gamma 111.85
_symmetry_space_group_name_H-M 'P 1'
_symmetry_Int_Tables_number 1
loop_
_symmetry_equiv_pos_as_xyz
'x,y,z'
loop_
_atom_site_label
_atom_site_fract_x
_atom_site_fract_y
_atom_site_fract_z
Mg1 0.000 0.500 0.000
Mg2 0.500 0.000 0.000
Cu1 0.000 0.000 0.500
Re1 0.500 0.500 0.500
# Final energy   -95.34 eV for the cell shown
# Formation enthalpy at 0 K   0.225 eV/atom
# Space-group type   Cmmm (65)
# Total magnetization   0.00 μB per formula unit